No. 1
VASP calculation (PBE-GGA) on a relaxed MgAl2O4 crystal.

Unit cell a=4.844 b=4.844 c=9.466 alpha=90.00 beta=90.00 gamma=146.33
Fractional coordinates of all 14 atoms:
Al (0.865, 0.135, 0.073)
Al (0.865, 0.135, 0.427)
Al (0.135, 0.865, 0.927)
Al (0.135, 0.865, 0.573)
O (0.500, 0.500, 0.500)
O (0.770, 0.230, 0.890)
O (0.049, 0.951, 0.750)
O (0.230, 0.770, 0.110)
O (0.500, 0.500, 0.000)
O (0.230, 0.770, 0.390)
O (0.951, 0.049, 0.250)
O (0.770, 0.230, 0.610)
Mg (0.389, 0.611, 0.750)
Mg (0.611, 0.389, 0.250)

Properties
D(E_F), states/eV per cell: 0.00
Formation energy from raw total energies, eV/f.u.: -20.08
Space-group type: Cmcm

=====

No. 2
VASP calculation (PBE-GGA) on a relaxed Mg2Al2O crystal.

Unit cell a=5.611 b=5.611 c=5.365 alpha=90.00 beta=90.00 gamma=90.00
Fractional coordinates of all 10 atoms:
Al (0.669, 0.169, 0.000)
Al (0.331, 0.831, 0.000)
Al (0.169, 0.331, 0.000)
Al (0.831, 0.669, 0.000)
Mg (0.830, 0.330, 0.500)
Mg (0.170, 0.670, 0.500)
Mg (0.330, 0.170, 0.500)
Mg (0.670, 0.830, 0.500)
O (0.500, 0.500, 0.000)
O (0.000, 0.000, 0.000)

Properties
D(E_F), states/eV per cell: 2.15
Formation energy from raw total energies, eV/f.u.: -1.91
Space-group type: P4/mbm

=====

No. 3
VASP calculation (PBE-GGA) on a relaxed MgAl2O4 crystal.

Unit cell a=8.764 b=8.764 c=2.832 alpha=90.00 beta=90.00 gamma=120.00
Fractional coordinates of all 21 atoms:
Al (0.687, 0.677, 0.000)
Al (0.990, 0.313, 0.000)
Al (0.675, 0.018, 0.500)
Al (0.323, 0.010, 0.000)
Al (0.344, 0.325, 0.500)
Al (0.982, 0.656, 0.500)
Mg (0.000, 0.000, 0.000)
Mg (0.333, 0.667, 0.000)
Mg (0.667, 0.333, 0.500)
O (0.734, 0.198, 0.000)
O (0.464, 0.266, 0.000)
O (0.628, 0.858, 0.000)
O (0.866, 0.797, 0.500)
O (0.142, 0.770, 0.000)
O (0.039, 0.475, 0.500)
O (0.931, 0.134, 0.500)
O (0.230, 0.372, 0.000)
O (0.525, 0.564, 0.500)
O (0.802, 0.536, 0.000)
O (0.436, 0.961, 0.500)
O (0.203, 0.069, 0.500)

Properties
D(E_F), states/eV per cell: 0.00
Formation energy from raw total energies, eV/f.u.: -19.85
Space-group type: P-6

=====

no.,total DFT energy (no corrections) (eV per atom)
1,-7.00
2,-3.51
3,-6.97